## TlCrPb2 (PBE)

Data for an optimized crystal structure of TlCrPb2.

Output
Formation enthalpy at 0 K, meV/atom: 373
Energy relative to the lowest polymorph listed for this composition, eV per atom: 0.082
DOS(E_F), states/eV/atom: 0.620

a b c (Å): 7.3814 7.3814 7.3814
angles (deg): 153.80 142.06 46.70
Fractional positions:
Tl  0.0000  0.0000  0.0000
Cr  0.5000  0.5000  0.0000
Pb  0.3118  0.8118  0.5000
Pb  0.6882  0.1882  0.5000